Density functional theory data (PBE) for a relaxed structure of TcIr3Cl.

a = 4.749 Å, b = 4.749 Å, c = 4.749 Å
α = 90.00°, β = 90.00°, γ = 90.00°
Last column: magnetic moment on the atom in μB.
Fractional positions:
Ir: 0.000 0.500 0.000  0.14
Ir: 0.000 0.000 0.500  0.26
Ir: 0.500 0.000 0.000  0.15
Tc: 0.000 0.000 0.000  -0.01
Cl: 0.500 0.500 0.500  0.10

uncorrected formation energy = 1.907 eV/atom